Record 1
Density functional theory data (PBE) for La4IrPdI2 after structural relaxation.

Geometry as extended XYZ:
```
8
Lattice="-3.925 0.068 1.745 -0.151 -7.445 -0.050 3.405 2.363 7.566" Properties=species:S:1:pos:R:3 pbc="T T T"
Ir -2.038 -3.689 0.848
La -1.360 -1.308 2.280
La 0.529 -4.917 1.380
I 1.627 -2.541 3.758
Pd 0.000 0.000 0.000
I -0.260 1.215 4.656
La 2.726 -0.166 6.136
La 0.689 -3.707 6.981
```

Summary:
- D(E_F) (states/eV/f.u.) = 4.84
- ΔE_f (raw) (eV/atom) = -1.046

Record 2
Density functional theory data (PBE) for DyBeBi after structural relaxation.

Geometry as extended XYZ:
```
12
Lattice="8.021 0.000 0.000 -4.011 4.831 0.000 0.000 0.000 7.145" Properties=species:S:1:pos:R:3 pbc="T T T"
Be 0.000 3.903 3.178
Dy 6.016 0.815 1.786
Be 4.011 3.903 0.394
Bi 4.011 3.221 2.858
Bi 4.011 1.611 6.431
Dy 2.005 4.016 5.359
Bi 0.000 3.221 0.715
Dy -2.005 4.016 5.359
Be 0.000 0.928 6.751
Dy 2.005 0.815 1.786
Bi 0.000 1.611 4.287
Be 4.011 0.928 3.967
```

Summary:
- raw total energy (eV/atom) = -4.343
- D(E_F) (states/eV/f.u.) = 0.90

Record 3
Density functional theory data (PBE) for YScFe10 after structural relaxation.

Geometry as extended XYZ:
```
12
Lattice="-1.057 -3.094 2.217 4.633 -1.666 -0.116 1.771 4.437 7.037" Properties=species:S:1:pos:R:3 pbc="T T T"
Y 0.000 0.000 0.000
Fe 0.357 0.671 4.627
Fe 0.601 1.505 2.387
Sc 3.202 1.385 3.460
Fe 2.623 -0.064 1.161
Fe 3.388 -1.662 2.816
Fe 3.781 2.835 5.760
Fe 4.256 0.512 6.264
Fe 1.090 -0.835 2.874
Fe 1.958 1.338 6.321
Fe 1.170 2.932 4.649
Fe 1.788 -2.380 1.051
```

Summary:
- raw total energy (eV/atom) = -8.170
- D(E_F) (states/eV/f.u.) = 10.08

Record 4
Density functional theory data (PBE) for Ni2P after structural relaxation.

Geometry as extended XYZ:
```
3
Lattice="-2.685 -1.242 -2.652 -0.024 -1.473 3.689 -1.584 1.860 0.733" Properties=species:S:1:pos:R:3 pbc="T T T"
Ni -2.590 -0.389 -0.172
P 0.000 0.000 0.000
Ni -1.703 -0.466 1.942
```

Summary:
- raw total energy (eV/atom) = -5.434
- D(E_F) (states/eV/f.u.) = 3.73

- Which formula does entry 1 have?
  La4IrPdI2